[1]
The following is a PBE-GGA calculation of a relaxed Mn3Cr5H12 crystal, from Alexandria via LeMat-Bulk.

The space group is Ia-3d (No. 230) and the conventional cell measures 10.248, 10.248 and 10.248 Å, with angles of 90.00, 90.00 and 90.00 degrees. The distinct sites, in fractional coordinates, are Mn at (0.000, 0.250, 0.125), Cr at (0.000, 0.000, 0.000), Cr at (0.000, 0.250, 0.375) and H at (0.010, 0.072, 0.654).

The calculation puts the final energy at -0.415 Ry/atom. The density comes out at 5.4 Mg/m³. The calculation puts the size of the total moment at 81.5 μB per cell.

***

[2]
The following is a PBE-GGA calculation of a relaxed RhCN2O crystal, from Alexandria via LeMat-Bulk.

The space group is P4/mmm (No. 123) and the conventional cell measures 3.338, 3.338 and 3.525 Å, with angles of 90.00, 90.00 and 90.00 degrees. The distinct sites, in fractional coordinates, are Rh at (0.000, 0.000, 0.000), C at (0.500, 0.500, 0.500), N at (0.000, 0.500, 0.500) and O at (0.500, 0.500, 0.000).

The density comes out at 6.7 Mg/m³. For the uncorrected formation energy, the calculation gives 1.91 eV per atom. The calculation puts the size of the total moment at 0.0 μB per cell.

***

[3]
The following is a PBE-GGA calculation of a relaxed CaSiAu2 crystal, from Alexandria via LeMat-Bulk.

The space group is F-43m (No. 216) and the conventional cell measures 6.796, 6.796 and 6.796 Å, with angles of 90.00, 90.00 and 90.00 degrees. The distinct sites, in fractional coordinates, are Ca at (0.000, 0.000, 0.000), Si at (0.250, 0.250, 0.750), Au at (0.000, 0.000, 0.500) and Au at (0.250, 0.250, 0.250).

The density comes out at 9.8 Mg/m³. For the uncorrected formation energy, the calculation gives -0.24 eV per atom. The calculation puts the size of the total moment at 0.0 μB per cell.

***

[4]
The following is a PBE-GGA calculation of a relaxed SN crystal, from Alexandria via LeMat-Bulk.

The space group is Fm-3m (No. 225) and the conventional cell measures 4.442, 4.442 and 4.442 Å, with angles of 90.00, 90.00 and 90.00 degrees. The distinct sites, in fractional coordinates, are S at (0.000, 0.000, 0.000) and N at (0.000, 0.000, 0.500).

The density comes out at 3.5 Mg/m³. For the uncorrected formation energy, the calculation gives 1.88 eV per atom. The calculation puts the size of the total moment at 0.0 μB per cell.

***

[5]
The following is a PBE-GGA calculation of a relaxed Li2CePm2Bi2 crystal, from Alexandria via LeMat-Bulk.

The space group is R-3m (No. 166, hexagonal axes) and the conventional cell measures 4.9314, 4.9314 and 27.5129 Å, with angles of 90.00, 90.00 and 120.00 degrees. The distinct sites, in fractional coordinates, are Li at (0.0000, 0.0000, 0.0911), Ce at (0.0000, 0.0000, 0.5000), Pm at (0.0000, 0.0000, 0.3703) and Bi at (0.0000, 0.0000, 0.2348).

The density comes out at 7.4 Mg/m³. The calculation puts the size of the total moment at 4.4 μB per cell. The calculation puts the calculated formation energy at -0.4079 eV per atom.

***

[6]
The following is a PBE-GGA calculation of a relaxed ZrWCl2 crystal, from Alexandria via LeMat-Bulk.

The space group is F-43m (No. 216) and the conventional cell measures 6.769, 6.769 and 6.769 Å, with angles of 90.00, 90.00 and 90.00 degrees. The distinct sites, in fractional coordinates, are Zr at (0.000, 0.000, 0.000), W at (0.250, 0.250, 0.750), Cl at (0.000, 0.000, 0.500) and Cl at (0.250, 0.250, 0.250).

The density comes out at 7.4 Mg/m³. For the uncorrected formation energy, the calculation gives 0.79 eV per atom. The calculation puts the energy above the most stable polymorph in this dataset at 1299 meV per atom. The calculation puts the size of the total moment at 4.9 μB per cell.

***

[7]
The following is a PBE-GGA calculation of a relaxed Pm6Si3Ni crystal, from Alexandria via LeMat-Bulk.

The space group is P2_1/c (No. 14) and the conventional cell measures 6.299, 8.263 and 12.174 Å, with angles of 90.00, 120.91 and 90.00 degrees. The distinct sites, in fractional coordinates, are Pm at (0.065, 0.179, 0.433), Pm at (0.296, 0.673, 0.434), Pm at (0.378, 0.045, 0.242), Si at (0.171, 0.116, 0.748), Si at (0.500, 0.000, 0.500) and Ni at (0.000, 0.000, 0.000).

The density comes out at 6.2 Mg/m³. For the uncorrected formation energy, the calculation gives -0.40 eV per atom. The calculation puts the size of the total moment at 0.0 μB per cell.

***

[8]
The following is a PBE-GGA calculation of a relaxed CdSnPb6 crystal, from Alexandria via LeMat-Bulk.

The space group is C2/m (No. 12) and the conventional cell measures 7.180, 12.342 and 6.578 Å, with angles of 90.00, 120.47 and 90.00 degrees. The distinct sites, in fractional coordinates, are Cd at (0.000, 0.000, 0.000), Sn at (0.000, 0.000, 0.500), Pb at (0.002, 0.235, 0.753) and Pb at (0.002, 0.500, 0.251).

The density comes out at 9.7 Mg/m³. The calculation puts the energy above the most stable polymorph in this dataset at 91 meV per atom. The calculation puts the size of the total moment at 0.0 μB per cell. The calculation puts the calculated formation energy at 0.1216 eV per atom.